A relaxed BAsH2Pd crystal. Source: the Alexandria database, functional PBE.

Summary:
- DOS at the Fermi energy: 1.66 states/eV per cell
- DFT total energy: -20.4 eV/cell
- Space group: No. 123
- Theoretical density: 5670 kg/m³

a b c (Å): 3.262 3.262 5.344
angles (deg): 90.00 90.00 90.00
Sites, in units of the cell vectors:
1 B 0.000 0.000 0.000
2 As 0.500 0.500 0.500
3 H 0.000 0.500 0.500
4 H 0.500 0.000 0.500
5 Pd 0.500 0.500 0.000